(1)
6
Lattice="-0.335 -4.138 -5.159 5.541 -2.614 -2.513 1.296 -6.440 0.831" Properties=species:S:1:pos:R:3 comment="Pm4YTh (PBE, optimized geometry)" de_polymorph_ev_per_fu=1.724 formation_enthalpy_0k_ev_per_fu=1.87 total_energy_ev_per_atom=-5.169 spacegroup="F-43m (216)" pbc="T T T"
Y 0.000 0.000 0.000
Th 1.625 -3.298 -1.710
Pm 3.416 -5.028 -4.689
Pm 1.297 -6.937 -3.020
Pm 4.062 -8.242 -4.274
Pm 4.229 -6.177 -1.699

(2)
22
Lattice="5.760 0.000 0.000 -2.880 4.824 0.000 0.000 0.000 26.086" Properties=species:S:1:pos:R:3 comment="PmY6Th4 (PBE, optimized geometry)" formation_enthalpy_0k_ev_per_fu=1.65 total_energy_ev_per_atom=-6.506 spacegroup="Cmcm (63)" pbc="T T T"
Pm 2.880 2.953 6.522
Pm 0.000 1.871 19.565
Y 2.880 0.000 0.000
Y 2.880 0.000 13.043
Y 0.000 1.347 8.344
Y 2.880 3.477 17.742
Y 2.880 3.477 21.388
Y 0.000 1.347 4.699
Y 2.880 3.019 10.389
Y 0.000 1.805 15.697
Y 0.000 1.805 23.433
Y 2.880 3.019 2.654
Y 0.000 4.523 6.522
Y 2.880 0.301 19.565
Th 2.880 3.315 14.248
Th 0.000 4.549 3.206
Th 0.000 1.509 11.839
Th 2.880 0.275 22.881
Th 2.880 3.315 24.882
Th 0.000 1.509 1.204
Th 2.880 0.275 16.249
Th 0.000 4.549 9.837

(3)
19
Lattice="8.549 0.705 0.844 -0.599 8.557 0.844 -0.599 -0.698 8.570" Properties=species:S:1:pos:R:3 comment="Pm6Y12Th (PBE, optimized geometry)" de_polymorph_ev_per_fu=0.000 formation_enthalpy_0k_ev_per_fu=2.66 total_energy_ev_per_atom=-5.833 spacegroup="R-3 (148)" pbc="T T T"
Pm 5.632 8.114 4.036
Pm 5.712 2.614 1.554
Pm 0.184 5.807 2.849
Pm 1.718 0.449 6.222
Pm 1.638 5.949 8.705
Pm 7.166 2.756 7.409
Y 6.050 4.856 4.890
Y 2.981 6.578 5.651
Y 3.882 3.611 7.482
Y 1.300 3.708 5.368
Y 4.369 1.985 4.607
Y 3.468 4.952 2.776
Y -0.230 1.507 3.191
Y 5.825 5.424 9.687
Y 4.478 8.355 8.205
Y 7.580 7.056 7.067
Y 1.524 3.140 0.572
Y 2.872 0.208 2.053
Th 0.000 0.000 0.000

(4)
13
Lattice="10.377 -0.001 -5.599 -6.698 9.704 -0.001 -2.926 -2.019 6.994" Properties=species:S:1:pos:R:3 comment="Pm8Y4Th (PBE, optimized geometry)" formation_enthalpy_0k_ev_per_fu=5.73 total_energy_ev_per_atom=-5.042 spacegroup="R-3m (166)" pbc="T T T"
Pm -0.517 6.807 -0.959
Pm 1.270 0.877 2.353
Pm 2.356 1.626 -1.852
Pm -3.439 1.214 6.041
Pm -1.603 6.057 3.246
Pm -6.783 6.058 6.041
Pm 7.536 1.626 -4.646
Pm 4.192 6.469 -4.647
Y 0.000 0.000 0.000
Y -6.275 2.833 6.994
Y 1.839 4.851 -2.800
Y 5.189 0.000 -2.799
Th -4.812 3.842 3.497

(5)
5
Lattice="-0.910 0.210 3.472 0.359 -2.875 2.129 13.410 3.259 5.178" Properties=species:S:1:pos:R:3 comment="PmY2Th2 (PBE, optimized geometry)" de_polymorph_ev_per_fu=0.000 formation_enthalpy_0k_ev_per_fu=0.07 total_energy_ev_per_atom=-6.489 spacegroup="R-3m (166)" pbc="T T T"
Pm 0.000 0.000 0.000
Y 10.452 1.525 6.369
Y 2.407 -0.931 4.410
Th 7.560 -0.191 7.577
Th 5.300 0.785 3.202

(6)
19
Lattice="-2.714 -8.956 -0.057 5.770 3.099 6.482 -7.069 2.112 4.811" Properties=species:S:1:pos:R:3 comment="Pm12Y5Th2 (PBE, optimized geometry)" de_polymorph_ev_per_fu=0.000 formation_enthalpy_0k_ev_per_fu=2.65 total_energy_ev_per_atom=-5.343 spacegroup="C2/m (12)" pbc="T T T"
Pm 1.570 -5.404 6.048
Pm -1.400 3.506 8.224
Pm -3.140 -2.235 8.187
Pm 1.579 1.418 6.280
Pm 0.504 -2.129 6.257
Pm -0.757 0.173 8.855
Pm -3.256 -3.918 2.382
Pm -5.591 -5.163 4.956
Pm -4.516 -1.616 4.979
Pm -2.612 -7.251 3.013
Pm -0.872 -1.511 3.049
Pm -5.582 1.659 5.189
Y -1.936 0.550 5.729
Y -4.211 1.222 8.406
Y -3.534 1.056 2.406
Y 0.198 -4.968 2.831
Y -2.077 -4.295 5.508
Th -1.807 -5.963 -0.038
Th -0.907 -2.993 -0.019

Copy entry 6 word for word.
19
Lattice="-2.714 -8.956 -0.057 5.770 3.099 6.482 -7.069 2.112 4.811" Properties=species:S:1:pos:R:3 comment="Pm12Y5Th2 (PBE, optimized geometry)" de_polymorph_ev_per_fu=0.000 formation_enthalpy_0k_ev_per_fu=2.65 total_energy_ev_per_atom=-5.343 spacegroup="C2/m (12)" pbc="T T T"
Pm 1.570 -5.404 6.048
Pm -1.400 3.506 8.224
Pm -3.140 -2.235 8.187
Pm 1.579 1.418 6.280
Pm 0.504 -2.129 6.257
Pm -0.757 0.173 8.855
Pm -3.256 -3.918 2.382
Pm -5.591 -5.163 4.956
Pm -4.516 -1.616 4.979
Pm -2.612 -7.251 3.013
Pm -0.872 -1.511 3.049
Pm -5.582 1.659 5.189
Y -1.936 0.550 5.729
Y -4.211 1.222 8.406
Y -3.534 1.056 2.406
Y 0.198 -4.968 2.831
Y -2.077 -4.295 5.508
Th -1.807 -5.963 -0.038
Th -0.907 -2.993 -0.019